--- 1 ---
Here is an optimized crystal structure of LaPmDyCd from Alexandria. Energies are from PBE-GGA.

ρ ... 7.54 g/cm³
Density of states at the Fermi level ... 1.46 states/eV/atom
Total moment ... 0.05 μB/f.u.

Unit cell a=5.584 b=5.584 c=5.584 alpha=60.00 beta=60.00 gamma=60.00
Positions (direct):
La  0.000  0.000  0.000
Pm  0.750  0.750  0.750
Dy  0.500  0.500  0.500
Cd  0.250  0.250  0.250



--- 2 ---
Here is an optimized crystal structure of LaPmDyCd from Alexandria. Energies are from PBE-GGA.

ρ ... 7.47 g/cm³
Density of states at the Fermi level ... 1.38 states/eV/atom
Total moment ... 0.00 μB/f.u.

Unit cell a=3.732 b=3.732 c=8.917 alpha=90.00 beta=90.00 gamma=90.00
Positions (direct):
La  0.000  0.000  0.000
Pm  0.500  0.500  0.713
Dy  0.500  0.500  0.277
Cd  0.000  0.000  0.485



Which of them is the most stable, and which is the least stable? 2 and 1, in that order.



--- 1 ---
Here is an optimized crystal structure of LaPrDyCd from Alexandria. Energies are from PBE-GGA.

ρ ... 7.33 g/cm³
Density of states at the Fermi level ... 1.49 states/eV/atom
Total moment ... 0.00 μB/f.u.

Unit cell a=5.623 b=5.623 c=5.623 alpha=60.00 beta=60.00 gamma=60.00
Positions (direct):
La  0.000  0.000  0.000
Pr  0.500  0.500  0.500
Dy  0.250  0.250  0.250
Cd  0.750  0.750  0.750



--- 2 ---
Here is an optimized crystal structure of LaPrDyCd from Alexandria. Energies are from PBE-GGA.

ρ ... 7.25 g/cm³
Density of states at the Fermi level ... 1.13 states/eV/atom
Total moment ... 0.00 μB/f.u.

Unit cell a=3.730 b=3.730 c=9.136 alpha=90.00 beta=90.00 gamma=90.00
Positions (direct):
La  0.000  0.000  0.000
Pr  0.500  0.500  0.288
Dy  0.000  0.000  0.557
Cd  0.500  0.500  0.759



Which of them is the most stable, and which is the least stable? 2 and 1, in that order.



--- 1 ---
Here is an optimized crystal structure of LaDyThCd from Alexandria. Energies are from PBE-GGA.

ρ ... 8.87 g/cm³
Density of states at the Fermi level ... 0.95 states/eV/atom
Total moment ... 0.00 μB/f.u.

Unit cell a=3.643 b=3.643 c=9.110 alpha=90.00 beta=90.00 gamma=90.00
Positions (direct):
La  0.000  0.000  0.000
Dy  0.000  0.000  0.470
Th  0.500  0.500  0.728
Cd  0.500  0.500  0.253



--- 2 ---
Here is an optimized crystal structure of LaDyThCd from Alexandria. Energies are from PBE-GGA.

ρ ... 8.73 g/cm³
Density of states at the Fermi level ... 1.68 states/eV/atom
Total moment ... 0.00 μB/f.u.

Unit cell a=5.581 b=5.581 c=5.581 alpha=60.00 beta=60.00 gamma=60.00
Positions (direct):
La  0.000  0.000  0.000
Dy  0.250  0.250  0.250
Th  0.500  0.500  0.500
Cd  0.750  0.750  0.750



Which of them is the most stable, and which is the least stable? 1 and 2, in that order.



--- 1 ---
Here is an optimized crystal structure of LaDyZnCd from Alexandria. Energies are from PBE-GGA.

ρ ... 7.46 g/cm³
Density of states at the Fermi level ... 1.28 states/eV/atom
Total moment ... 0.32 μB/f.u.

Unit cell a=5.324 b=5.324 c=5.324 alpha=60.00 beta=60.00 gamma=60.00
Positions (direct):
La  0.000  0.000  0.000
Dy  0.500  0.500  0.500
Zn  0.750  0.750  0.750
Cd  0.250  0.250  0.250



--- 2 ---
Here is an optimized crystal structure of LaDyZnCd from Alexandria. Energies are from PBE-GGA.

ρ ... 7.56 g/cm³
Density of states at the Fermi level ... 1.12 states/eV/atom
Total moment ... 0.00 μB/f.u.

Unit cell a=3.681 b=3.681 c=7.767 alpha=90.00 beta=90.00 gamma=90.00
Positions (direct):
La  0.000  0.000  0.000
Dy  0.000  0.000  0.460
Zn  0.500  0.500  0.256
Cd  0.500  0.500  0.708



Which of them is the most stable, and which is the least stable? 2 and 1, in that order.